# 1
Density functional theory data (PBE) for a relaxed K4RbMg3F12 crystal.

Calculated values
Its total energy is -182.1 eV for the cell shown. The density of states at the Fermi level comes out at 1.009 states/eV/atom.

abc: 8.692 8.692 8.692
angles: 90.00 90.00 90.00
Space group Im-3m (No. 229)
Inequivalent atoms, fractional coordinates:
1 K 0.250 0.250 0.250 (multiplicity 8)
2 Rb 0.000 0.000 0.000 (multiplicity 2)
3 Mg 0.000 0.000 0.500 (multiplicity 6)
4 F 0.000 0.000 0.286 (multiplicity 12)
5 F 0.000 0.250 0.500 (multiplicity 12)

# 2
Density functional theory data (PBE) for a relaxed KRb2MgF crystal.

Calculated values
Its total energy is -11.0 eV for the cell shown. The density of states at the Fermi level comes out at 0.659 states/eV/atom.

abc: 5.910 5.910 5.686
angles: 90.00 90.00 90.00
Space group P4/mmm (No. 123)
Inequivalent atoms, fractional coordinates:
1 K 0.000 0.000 0.000 (multiplicity 1)
2 Rb 0.000 0.500 0.500 (multiplicity 2)
3 Mg 0.500 0.500 0.000 (multiplicity 1)
4 F 0.000 0.000 0.500 (multiplicity 1)

# 3
Density functional theory data (PBE) for a relaxed K2RbMgF6 crystal.

Calculated values
Its total energy is -86.1 eV for the cell shown. The density of states at the Fermi level comes out at 1.156 states/eV/atom.

abc: 6.307 6.579 10.870
angles: 90.00 125.12 90.00
Space group P2_1/c (No. 14)
Inequivalent atoms, fractional coordinates:
1 K 0.227 0.054 0.245 (multiplicity 4)
2 Rb 0.000 0.000 0.500 (multiplicity 2)
3 Mg 0.500 0.000 0.000 (multiplicity 2)
4 F 0.193 0.166 0.950 (multiplicity 4)
5 F 0.270 0.749 0.422 (multiplicity 4)
6 F 0.415 0.064 0.796 (multiplicity 4)

# 4
Density functional theory data (PBE) for a relaxed KRb2Mg2F7 crystal.

Calculated values
Its total energy is -115.1 eV for the cell shown. The density of states at the Fermi level comes out at 0.000 states/eV/atom.

abc: 4.091 4.091 22.117
angles: 90.00 90.00 90.00
Space group I4/mmm (No. 139)
Inequivalent atoms, fractional coordinates:
1 K 0.000 0.000 0.000 (multiplicity 2)
2 Rb 0.000 0.000 0.185 (multiplicity 4)
3 Mg 0.000 0.000 0.408 (multiplicity 4)
4 F 0.000 0.000 0.317 (multiplicity 4)
5 F 0.000 0.000 0.500 (multiplicity 2)
6 F 0.000 0.500 0.090 (multiplicity 8)

# 5
Density functional theory data (PBE) for a relaxed K2RbMg2F7 crystal.

Calculated values
Its total energy is -115.4 eV for the cell shown. The density of states at the Fermi level comes out at 0.000 states/eV/atom.

abc: 4.078 4.078 21.556
angles: 90.00 90.00 90.00
Space group I4/mmm (No. 139)
Inequivalent atoms, fractional coordinates:
1 K 0.000 0.000 0.187 (multiplicity 4)
2 Rb 0.000 0.000 0.000 (multiplicity 2)
3 Mg 0.000 0.000 0.403 (multiplicity 4)
4 F 0.000 0.000 0.310 (multiplicity 4)
5 F 0.000 0.000 0.500 (multiplicity 2)
6 F 0.000 0.500 0.097 (multiplicity 8)

# 6
Density functional theory data (PBE) for a relaxed K2MgRh3F12 crystal.

Calculated values
Its total energy is -259.0 eV for the cell shown. The density of states at the Fermi level comes out at 0.277 states/eV/atom.

abc: 7.4950 7.4950 18.0299
angles: 90.00 90.00 120.00
Space group R-3m (No. 166, hexagonal axes)
Inequivalent atoms, fractional coordinates:
1 K 0.0000 0.0000 0.1574 (multiplicity 6)
2 Mg 0.0000 0.0000 0.5000 (multiplicity 3)
3 Rh 0.0000 0.5000 0.0000 (multiplicity 9)
4 F 0.0676 0.5338 0.3655 (multiplicity 18)
5 F 0.0717 0.5358 0.1087 (multiplicity 18)

# 7
Density functional theory data (PBE) for a relaxed KMgRhF6 crystal.

Calculated values
Its total energy is -175.7 eV for the cell shown.

abc: 7.288 7.301 10.550
angles: 90.00 90.00 90.00
Space group Imma (No. 74)
Inequivalent atoms, fractional coordinates:
1 K 0.000 0.250 0.079 (multiplicity 4)
2 Mg 0.250 0.250 0.750 (multiplicity 4)
3 Rh 0.000 0.000 0.500 (multiplicity 4)
4 F 0.000 0.250 0.420 (multiplicity 4)
5 F 0.000 0.250 0.812 (multiplicity 4)
6 F 0.208 0.050 0.620 (multiplicity 16)

# 8
Density functional theory data (PBE) for a relaxed K2Mg3RhF12 crystal.

Calculated values
Its total energy is -262.6 eV for the cell shown. The density of states at the Fermi level comes out at 0.566 states/eV/atom.

abc: 7.2541 7.2541 18.7046
angles: 90.00 90.00 120.00
Space group R-3m (No. 166, hexagonal axes)
Inequivalent atoms, fractional coordinates:
1 K 0.0000 0.0000 0.0939 (multiplicity 6)
2 Mg 0.0000 0.5000 0.0000 (multiplicity 9)
3 Rh 0.0000 0.0000 0.5000 (multiplicity 3)
4 F 0.0690 0.5345 0.3552 (multiplicity 18)
5 F 0.0733 0.5366 0.1099 (multiplicity 18)

# 9
Density functional theory data (PBE) for a relaxed KMgRuF6 crystal.

Calculated values
Its total energy is -45.8 eV for the cell shown. The density of states at the Fermi level comes out at 1.202 states/eV/atom.

abc: 5.3939 5.3939 5.7697
angles: 90.00 90.00 120.00
Space group P312 (No. 149)
Inequivalent atoms, fractional coordinates:
1 K 0.0000 0.0000 0.0000 (multiplicity 1)
2 Mg 0.3333 0.6667 0.5000 (multiplicity 1)
3 Ru 0.6667 0.3333 0.5000 (multiplicity 1)
4 F 0.0006 0.3667 0.6885 (multiplicity 6)

# 10
Density functional theory data (PBE) for a relaxed KMg2SbF8 crystal.

Calculated values
Its total energy is -58.6 eV for the cell shown. The density of states at the Fermi level comes out at 0.000 states/eV/atom.

abc: 5.161 5.162 6.768
angles: 89.85 89.85 88.61
Space group P-1 (No. 2)
Inequivalent atoms, fractional coordinates:
1 K 0.000 0.000 0.000 (multiplicity 1)
2 Mg 0.499 0.499 0.239 (multiplicity 2)
3 Sb 0.000 0.000 0.500 (multiplicity 1)
4 F 0.224 0.770 0.717 (multiplicity 2)
5 F 0.225 0.771 0.283 (multiplicity 2)
6 F 0.312 0.309 0.499 (multiplicity 2)
7 F 0.338 0.333 0.000 (multiplicity 2)